Version 1
A plane-wave DFT calculation with GGA-PBE was carried out for crystalline In2Ir2O5 at its relaxed geometry.

POSCAR file:
```
In2Ir2O5
1.0
6.926 0.000 0.000
0.000 3.907 0.000
0.000 0.000 3.907
In Ir O
2 2 5
Cartesian
0.000 0.000 0.000
3.463 0.000 0.000
1.344 1.954 1.954
5.582 1.954 1.954
1.870 1.954 0.000
5.056 1.954 0.000
1.870 0.000 1.954
5.056 0.000 1.954
3.463 1.954 1.954
```

Its space group is P4/mmm.

Version 2
A plane-wave DFT calculation with GGA-PBE was carried out for crystalline In2Ir2O5 at its relaxed geometry.

POSCAR file:
```
In2Ir2O5
1.0
9.115 0.000 0.000
0.000 3.598 0.000
0.000 0.000 3.598
In Ir O
2 2 5
Cartesian
2.431 1.799 1.799
6.684 1.799 1.799
0.000 0.000 0.000
4.557 0.000 0.000
1.189 1.799 0.000
7.925 1.799 0.000
1.189 0.000 1.799
7.925 0.000 1.799
4.557 1.799 1.799
```

Its space group is P4/mmm.

Least stable of them? version 2.

Version 1
A plane-wave DFT calculation with GGA-PBE was carried out for crystalline RbInIr at its relaxed geometry.

POSCAR file:
```
RbInIr
1.0
4.039 -1.011 3.168
-0.826 -2.221 4.665
1.489 -4.944 0.844
In Ir Rb
1 1 1
Cartesian
1.176 -2.044 2.169
3.527 -6.132 6.508
0.000 0.000 0.000
```

Its space group is F-43m.

Version 2
A plane-wave DFT calculation with GGA-PBE was carried out for crystalline RbInIr at its relaxed geometry.

POSCAR file:
```
RbInIr
1.0
-2.583 2.741 3.177
-4.269 2.027 -1.398
-4.249 -1.696 1.831
In Ir Rb
1 1 1
Cartesian
-2.775 0.768 0.903
0.000 0.000 0.000
-8.326 2.304 2.708
```

Its space group is F-43m.

Least stable of them? version 1.

Version 1
A plane-wave DFT calculation with GGA-PBE was carried out for crystalline KInOs at its relaxed geometry.

POSCAR file:
```
KInOs
1.0
0.000 3.378 3.378
3.378 0.000 3.378
3.378 3.378 0.000
In K Os
1 1 1
Cartesian
1.689 1.689 1.689
5.067 5.067 5.067
0.000 0.000 0.000
```

Its space group is F-43m.

Version 2
A plane-wave DFT calculation with GGA-PBE was carried out for crystalline KInOs at its relaxed geometry.

POSCAR file:
```
KInOs
1.0
3.513 -3.257 -1.817
-0.715 -5.053 0.452
-1.027 -2.823 -4.151
In K Os
1 1 1
Cartesian
0.443 -2.784 -1.379
0.000 0.000 0.000
1.328 -8.351 -4.136
```

Its space group is F-43m.

Least stable of them? version 2.

Version 1
A plane-wave DFT calculation with GGA-PBE was carried out for crystalline KInTe3Pd at its relaxed geometry.

POSCAR file:
```
KInTe3Pd
1.0
14.988 0.000 0.000
0.000 4.534 0.000
0.000 0.000 12.369
In K Pd Te
4 4 4 12
Cartesian
7.220 3.401 1.675
14.714 3.401 4.509
0.274 1.134 7.859
7.768 1.134 10.694
11.847 3.401 0.524
4.353 3.401 5.660
10.635 1.134 6.708
3.141 1.134 11.845
14.697 1.134 0.897
7.203 1.134 5.287
7.785 3.401 7.082
0.291 3.401 11.471
9.149 1.134 0.842
0.873 3.401 1.697
5.738 1.134 3.088
13.232 1.134 3.097
8.367 3.401 4.487
1.655 1.134 5.342
13.333 3.401 7.026
6.621 1.134 7.881
1.756 3.401 9.272
9.250 3.401 9.281
14.115 1.134 10.672
5.839 3.401 11.527
```

Its space group is Pnma.

Version 2
A plane-wave DFT calculation with GGA-PBE was carried out for crystalline KInTe3Pd at its relaxed geometry.

POSCAR file:
```
KInTe3Pd
1.0
-1.649 5.063 7.396
0.747 -3.603 2.633
9.583 1.470 -0.707
In K Pd Te
2 2 2 6
Cartesian
3.452 1.325 2.778
5.230 1.604 6.543
0.963 3.385 6.304
7.719 -0.456 3.018
1.406 -2.328 2.247
7.275 5.257 7.074
0.777 0.247 2.061
2.755 0.459 5.679
4.023 -1.727 2.327
4.659 4.656 6.995
5.926 2.470 3.643
7.904 2.682 7.260
```

Its space group is P2_1/m.

Least stable of them? version 1.

Version 1
A plane-wave DFT calculation with GGA-PBE was carried out for crystalline KTbIn at its relaxed geometry.

POSCAR file:
```
KTbIn
1.0
2.331 -8.828 0.000
2.331 8.828 0.000
0.000 0.000 4.902
In K Tb
2 2 2
Cartesian
2.331 -5.542 0.000
2.331 5.542 0.000
2.331 0.000 0.000
0.000 0.000 2.451
2.331 -3.210 2.451
2.331 3.210 2.451
```

Its space group is Cmmm.

Version 2
A plane-wave DFT calculation with GGA-PBE was carried out for crystalline KTbIn at its relaxed geometry.

POSCAR file:
```
KTbIn
1.0
-3.579 -4.131 0.571
-5.228 1.057 1.324
-3.977 -0.724 -3.723
In K Tb
1 1 1
Cartesian
0.000 0.000 0.000
-3.196 -0.949 -0.457
-9.588 -2.848 -1.371
```

Its space group is F-43m.

Least stable of them? version 2.

Version 1
A plane-wave DFT calculation with GGA-PBE was carried out for crystalline LaMgInNi at its relaxed geometry.

POSCAR file:
```
LaMgInNi
1.0
0.000 3.486 3.486
3.486 0.000 3.486
3.486 3.486 0.000
In La Mg Ni
1 1 1 1
Cartesian
3.486 3.486 3.486
0.000 0.000 0.000
5.230 5.230 5.230
1.743 1.743 1.743
```

Its space group is F-43m.

Version 2
A plane-wave DFT calculation with GGA-PBE was carried out for crystalline LaMgInNi at its relaxed geometry.

POSCAR file:
```
LaMgInNi
1.0
0.899 -4.056 -2.847
-1.441 -4.558 1.584
-3.813 -2.370 -2.282
In La Mg Ni
1 1 1 1
Cartesian
0.000 0.000 0.000
-1.089 -2.746 -0.886
-3.266 -8.238 -2.659
-2.177 -5.492 -1.773
```

Its space group is F-43m.

Least stable of them? version 2.